Computed, not measured: a relaxed Te2RuIN crystal at the GGA-PBEsol level of DFT.

abc: 5.530 5.530 3.643
angles: 90.00 90.00 90.00
Positions (direct):
Te: 0.000 0.500 0.000
Te: 0.500 0.000 0.000
Ru: 0.000 0.000 0.000
I: 0.500 0.500 0.500
N: 0.000 0.000 0.500



Computed, not measured: a relaxed TiRuIN2 crystal at the GGA-PBEsol level of DFT.

abc: 3.835 3.835 5.566
angles: 90.00 90.00 90.00
Positions (direct):
Ti: 0.000 0.000 0.000
Ru: 0.500 0.500 0.500
I: 0.500 0.500 0.000
N: 0.000 0.500 0.500
N: 0.500 0.000 0.500



Computed, not measured: a relaxed SbSI2N crystal at the GGA-PBEsol level of DFT.

abc: 5.946 5.946 3.903
angles: 90.00 90.00 90.00
Positions (direct):
Sb: 0.000 0.000 0.000
S: 0.500 0.500 0.500
I: 0.000 0.500 0.000
I: 0.500 0.000 0.000
N: 0.000 0.000 0.500



Computed, not measured: a relaxed SeSIN2 crystal at the GGA-PBEsol level of DFT.

abc: 3.724 3.724 6.921
angles: 90.00 90.00 90.00
Positions (direct):
Se: 0.000 0.000 0.000
S: 0.500 0.500 0.500
I: 0.500 0.500 0.000
N: 0.000 0.500 0.500
N: 0.500 0.000 0.500



Computed, not measured: a relaxed SnSIN2 crystal at the GGA-PBEsol level of DFT.

abc: 4.135 4.135 5.432
angles: 90.00 90.00 90.00
Positions (direct):
Sn: 0.000 0.000 0.000
S: 0.000 0.000 0.500
I: 0.500 0.500 0.500
N: 0.000 0.500 0.000
N: 0.500 0.000 0.000



Computed, not measured: a relaxed SnSIN2 crystal at the GGA-PBEsol level of DFT.

abc: 4.064 4.064 5.199
angles: 90.00 90.00 90.00
Positions (direct):
Sn: 0.000 0.000 0.000
S: 0.500 0.500 0.500
I: 0.500 0.500 0.000
N: 0.000 0.500 0.500
N: 0.500 0.000 0.500



Computed, not measured: a relaxed Tc2SIN crystal at the GGA-PBEsol level of DFT.

abc: 4.608 4.608 3.485
angles: 90.00 90.00 90.00
Positions (direct):
Tc: 0.000 0.500 0.000
Tc: 0.500 0.000 0.000
S: 0.000 0.000 0.000
I: 0.500 0.500 0.500
N: 0.000 0.000 0.500



Computed, not measured: a relaxed TiSIN2 crystal at the GGA-PBEsol level of DFT.

abc: 3.841 3.841 6.096
angles: 90.00 90.00 90.00
Positions (direct):
Ti: 0.000 0.000 0.000
S: 0.500 0.500 0.500
I: 0.000 0.000 0.500
N: 0.000 0.500 0.000
N: 0.500 0.000 0.000



In order of appearance, formation energy from raw total energies = 0.326 0.875 1.005 1.568 1.245 1.627 1.212 0.517 eV/atom.
In order of appearance, volume = 111.4 81.9 138.0 96.0 92.9 85.9 74.0 90.0 Å³/f.u..